A plane-wave DFT calculation with GGA-PBE was carried out for crystalline Pm4Te5Br at its relaxed geometry.

Properties
formation energy without anion corrections	-1.285	eV/atom
mass density	5717	kg/m3
raw total energy	-98.5	eV for the cell shown

a b c (Å): 9.611 10.331 7.593
angles (deg): 90.00 90.00 90.00
Space group Pmmn (No. 59, origin choice 2)
Asymmetric unit:
Pm: 0.039 0.250 0.065 [4 per cell]
Pm: 0.250 0.508 0.546 [4 per cell]
Te: 0.026 0.552 0.242 [8 per cell]
Te: 0.250 0.750 0.774 [2 per cell]
Br: 0.250 0.250 0.367 [2 per cell]

A plane-wave DFT calculation with GGA-PBE was carried out for crystalline Na12Pb3O5 at its relaxed geometry.

Properties
formation energy without anion corrections	-0.599	eV/atom
mass density	3492	kg/m3
raw total energy	-509.8	eV for the cell shown

a b c (Å): 15.493 15.493 15.493
angles (deg): 90.00 90.00 90.00
Space group Ia-3d (No. 230)
Asymmetric unit:
Na: 0.040 0.136 0.951 [96 per cell]
Pb: 0.000 0.250 0.125 [24 per cell]
O: 0.000 0.000 0.000 [16 per cell]
O: 0.000 0.250 0.375 [24 per cell]

A plane-wave DFT calculation with GGA-PBE was carried out for crystalline BeGeSe2 at its relaxed geometry.

Properties
formation energy without anion corrections	0.001	eV/atom
mass density	5119	kg/m3
raw total energy	-45.9	eV for the cell shown
ΔE to the lowest computed polymorph	0.296	eV/atom

a b c (Å): 3.2641 3.2641 25.2675
angles (deg): 90.00 90.00 120.00
Space group R-3m (No. 166, hexagonal axes)
Asymmetric unit:
Be: 0.0000 0.0000 0.0000 [3 per cell]
Ge: 0.0000 0.0000 0.5000 [3 per cell]
Se: 0.0000 0.0000 0.3896 [6 per cell]

A plane-wave DFT calculation with GGA-PBE was carried out for crystalline Y7HoTm12 at its relaxed geometry.

Properties
calculated formation energy	15.2	eV per formula unit
mass density	6793	kg/m3
raw total energy	-176.5	eV for the cell shown
ΔE to the lowest computed polymorph	0.528	eV/atom

a b c (Å): 11.123 11.123 11.123
angles (deg): 90.00 90.00 90.00
Space group Im-3m (No. 229)
Asymmetric unit:
Y: 0.000 0.000 0.500 [6 per cell]
Y: 0.250 0.250 0.250 [8 per cell]
Ho: 0.000 0.000 0.000 [2 per cell]
Tm: 0.000 0.247 0.247 [24 per cell]

A plane-wave DFT calculation with GGA-PBE was carried out for crystalline Tb4Dy2Al at its relaxed geometry.

Properties
calculated formation energy	-0.2	eV per formula unit
mass density	7692	kg/m3
raw total energy	-95.1	eV for the cell shown

a b c (Å): 3.6076 3.6076 56.7485
angles (deg): 90.00 90.00 120.00
Space group R-3m (No. 166, hexagonal axes)
Asymmetric unit:
Tb: 0.0000 0.0000 0.0917 [6 per cell]
Tb: 0.0000 0.0000 0.2935 [6 per cell]
Dy: 0.0000 0.0000 0.1916 [6 per cell]
Al: 0.0000 0.0000 0.0000 [3 per cell]

A plane-wave DFT calculation with GGA-PBE was carried out for crystalline SrNiH3 at its relaxed geometry.

Properties
mass density	4204	kg/m3
raw total energy	-39.2	eV for the cell shown

a b c (Å): 4.862 5.176 5.178
angles (deg): 115.14 90.11 90.12
Space group P-1 (No. 2)
Asymmetric unit:
Sr: 0.250 0.200 0.300 [2 per cell]
Ni: 0.250 0.548 0.952 [2 per cell]
H: 0.003 0.685 0.193 [2 per cell]
H: 0.250 0.734 0.763 [2 per cell]
H: 0.497 0.306 0.816 [2 per cell]

A plane-wave DFT calculation with GGA-PBE was carried out for crystalline AcSi2Pd5 at its relaxed geometry.

Properties
formation energy without anion corrections	-0.788	eV/atom
mass density	9485	kg/m3
raw total energy	-94.4	eV for the cell shown

a b c (Å): 4.028 7.082 10.006
angles (deg): 90.00 90.00 90.00
Space group Immm (No. 71)
Asymmetric unit:
Ac: 0.000 0.000 0.000 [2 per cell]
Si: 0.000 0.500 0.238 [4 per cell]
Pd: 0.000 0.195 0.345 [8 per cell]
Pd: 0.000 0.500 0.000 [2 per cell]

A plane-wave DFT calculation with GGA-PBE was carried out for crystalline Dy2Ho2Tm15 at its relaxed geometry.

Properties
calculated formation energy	5.6	eV per formula unit
mass density	8711	kg/m3
raw total energy	-239.6	eV for the cell shown

a b c (Å): 11.0165 11.0165 17.3510
angles (deg): 90.00 90.00 120.00
Space group R-3m (No. 166, hexagonal axes)
Asymmetric unit:
Dy: 0.0000 0.0000 0.1762 [6 per cell]
Ho: 0.0000 0.0000 0.3990 [6 per cell]
Tm: 0.0000 0.3011 0.5000 [18 per cell]
Tm: 0.0000 0.5000 0.0000 [9 per cell]
Tm: 0.0101 0.5051 0.6377 [18 per cell]

A plane-wave DFT calculation with GGA-PBE was carried out for crystalline Mg2Ga4Os at its relaxed geometry.

Properties
calculated formation energy	1.1	eV per formula unit
mass density	5441	kg/m3
raw total energy	-50.9	eV for the cell shown

a b c (Å): 4.860 4.860 13.379
angles (deg): 90.00 90.00 90.00
Space group I4/mmm (No. 139)
Asymmetric unit:
Mg: 0.000 0.000 0.118 [4 per cell]
Ga: 0.000 0.000 0.315 [4 per cell]
Ga: 0.000 0.500 0.000 [4 per cell]
Os: 0.000 0.000 0.500 [2 per cell]

A plane-wave DFT calculation with GGA-PBE was carried out for crystalline ThCuSi2 at its relaxed geometry.

Properties
formation energy without anion corrections	-0.118	eV/atom
mass density	7904	kg/m3
raw total energy	-22.8	eV for the cell shown

a b c (Å): 3.374 3.374 6.491
angles (deg): 90.00 90.00 90.00
Space group P4/mmm (No. 123)
Asymmetric unit:
Th: 0.000 0.000 0.000 [1 per cell]
Cu: 0.000 0.000 0.500 [1 per cell]
Si: 0.500 0.500 0.318 [2 per cell]

A plane-wave DFT calculation with GGA-PBE was carried out for crystalline KSbF4 at its relaxed geometry.

Properties
formation energy without anion corrections	-2.597	eV/atom
mass density	3453	kg/m3
raw total energy	-226.3	eV for the cell shown

a b c (Å): 11.815 16.653 4.632
angles (deg): 90.00 90.00 90.00
Space group Pmmn (No. 59, origin choice 2)
Asymmetric unit:
K: 0.000 0.000 0.000 [4 per cell]
K: 0.250 0.134 0.437 [4 per cell]
Sb: 0.003 0.250 0.989 [4 per cell]
Sb: 0.250 0.593 0.568 [4 per cell]
F: 0.076 0.250 0.376 [4 per cell]
F: 0.101 0.654 0.790 [8 per cell]
F: 0.118 0.159 0.926 [8 per cell]
F: 0.132 0.507 0.486 [8 per cell]
F: 0.250 0.542 0.953 [4 per cell]

A plane-wave DFT calculation with GGA-PBE was carried out for crystalline Th6GeSb5 at its relaxed geometry.

Properties
formation energy without anion corrections	-0.899	eV/atom
mass density	9058	kg/m3
raw total energy	-161.1	eV for the cell shown

a b c (Å): 7.748 13.429 7.751
angles (deg): 90.00 109.50 90.00
Space group C2/m (No. 12)
Asymmetric unit:
Th: 0.235 0.000 0.256 [4 per cell]
Th: 0.238 0.159 0.739 [8 per cell]
Ge: 0.000 0.000 0.500 [2 per cell]
Sb: 0.000 0.173 0.000 [4 per cell]
Sb: 0.000 0.335 0.500 [4 per cell]
Sb: 0.000 0.500 0.000 [2 per cell]